Entry from Alexandria via LeMat-Bulk: a relaxed SrIn2Te2 crystal (PBE).

The calculation puts the uncorrected energy at -3.22 eV/atom. The density of states at the Fermi level is 0.16 states/eV/atom.

The space group is P4/mbm (No. 127) and the conventional cell measures 8.8211, 8.8211 and 4.6823 Å, with angles of 90.00, 90.00 and 90.00 degrees. Symmetry generates all atoms from Sr at (0.0000, 0.0000, 0.0000), In at (0.1243, 0.3757, 0.5000) and Te at (0.1834, 0.6834, 0.0000).


Entry from Alexandria via LeMat-Bulk: a relaxed AgCO3 crystal (PBE).

The calculation puts the uncorrected energy at -4.34 eV/atom. The density of states at the Fermi level is 0.75 states/eV/atom.

The space group is Pm-3m (No. 221) and the conventional cell measures 3.4863, 3.4863 and 3.4863 Å, with angles of 90.00, 90.00 and 90.00 degrees. Symmetry generates all atoms from Ag at (0.0000, 0.0000, 0.0000), C at (0.5000, 0.5000, 0.5000) and O at (0.0000, 0.5000, 0.5000).


Entry from Alexandria via LeMat-Bulk: a relaxed Al2PtPb crystal (PBE).

The calculation puts the energy of formation from the pure elements at -0.30 eV per atom. The density of states at the Fermi level is 0.45 states/eV/atom.

The space group is Cm (No. 8) and the conventional cell measures 8.7727, 3.3196 and 6.4901 Å, with angles of 90.00, 112.05 and 90.00 degrees. Symmetry generates all atoms from Al at (0.0000, 0.0000, 0.0000), Al at (0.1999, 0.0000, 0.7029), Pt at (0.4856, 0.0000, 0.7042) and Pb at (0.3192, 0.5000, 0.2902).


Entry from Alexandria via LeMat-Bulk: a relaxed ZrPaH4 crystal (PBE).

The calculation puts the uncorrected energy at -5.67 eV/atom. The density of states at the Fermi level is 0.72 states/eV/atom.

The space group is P4/mmm (No. 123) and the conventional cell measures 3.2725, 3.2725 and 5.7154 Å, with angles of 90.00, 90.00 and 90.00 degrees. Symmetry generates all atoms from Zr at (0.0000, 0.0000, 0.0000), Pa at (0.5000, 0.5000, 0.5000) and H at (0.0000, 0.5000, 0.2217).


Entry from Alexandria via LeMat-Bulk: a relaxed Na2ErScO4 crystal (PBE).

The calculation puts the uncorrected energy at -7.00 eV/atom. The density of states at the Fermi level is 0.00 states/eV/atom.

The space group is P2/m (No. 10) and the conventional cell measures 5.6934, 3.2908 and 5.8434 Å, with angles of 90.00, 108.94 and 90.00 degrees. Symmetry generates all atoms from Na at (0.0000, 0.0000, 0.0000), Na at (0.5000, 0.5000, 0.0000), Er at (0.0000, 0.5000, 0.5000), Sc at (0.5000, 0.0000, 0.5000), O at (0.2473, 0.0000, 0.7077) and O at (0.2748, 0.5000, 0.2951).


Entry from Alexandria via LeMat-Bulk: a relaxed NdCu2Pd5 crystal (PBE).

The calculation puts the energy of formation from the pure elements at -0.28 eV per atom. The density of states at the Fermi level is 0.64 states/eV/atom.

The space group is Immm (No. 71) and the conventional cell measures 3.8826, 7.4144 and 9.5804 Å, with angles of 90.00, 90.00 and 90.00 degrees. Symmetry generates all atoms from Nd at (0.0000, 0.0000, 0.0000), Cu at (0.0000, 0.5000, 0.2604), Pd at (0.0000, 0.1891, 0.3521) and Pd at (0.0000, 0.5000, 0.0000).


Entry from Alexandria via LeMat-Bulk: a relaxed NdEr2ScS6 crystal (PBE).

The calculation puts the uncorrected energy at -6.49 eV/atom. The density of states at the Fermi level is 0.00 states/eV/atom.

The space group is R3 (No. 146, hexagonal axes) and the conventional cell measures 6.8432, 6.8432 and 18.3181 Å, with angles of 90.00, 90.00 and 120.00 degrees. Symmetry generates all atoms from Nd at (0.0000, 0.0000, 0.0000), Er at (0.0000, 0.0000, 0.2906), Er at (0.0000, 0.0000, 0.7973), Sc at (0.0000, 0.0000, 0.4898), S at (0.0189, 0.7200, 0.3948) and S at (0.0278, 0.3471, 0.5586).


Entry from Alexandria via LeMat-Bulk: a relaxed ErPu2Th crystal (PBE).

The calculation puts the energy of formation from the pure elements at 0.23 eV per atom. The density of states at the Fermi level is 2.87 states/eV/atom.

The space group is Fm-3m (No. 225) and the conventional cell measures 7.7467, 7.7467 and 7.7467 Å, with angles of 90.00, 90.00 and 90.00 degrees. Symmetry generates all atoms from Er at (0.0000, 0.0000, 0.0000), Pu at (0.2500, 0.2500, 0.2500) and Th at (0.0000, 0.0000, 0.5000).


Entry from Alexandria via LeMat-Bulk: a relaxed Li2NbGeN crystal (PBE).

The calculation puts the uncorrected energy at -5.88 eV/atom. The density of states at the Fermi level is 0.38 states/eV/atom.

The space group is P4/mmm (No. 123) and the conventional cell measures 3.9189, 3.9189 and 4.1933 Å, with angles of 90.00, 90.00 and 90.00 degrees. Symmetry generates all atoms from Li at (0.0000, 0.5000, 0.0000), Nb at (0.0000, 0.0000, 0.5000), Ge at (0.5000, 0.5000, 0.5000) and N at (0.0000, 0.0000, 0.0000).


Entry from Alexandria via LeMat-Bulk: a relaxed K3Ho2TmSe6 crystal (PBE).

The calculation puts the uncorrected energy at -4.91 eV/atom. The density of states at the Fermi level is 0.00 states/eV/atom.

The space group is C2/m (No. 12) and the conventional cell measures 7.2483, 12.5542 and 8.0490 Å, with angles of 90.00, 107.47 and 90.00 degrees. Symmetry generates all atoms from K at (0.0000, 0.0000, 0.0000), K at (0.0000, 0.3330, 0.0000), Ho at (0.0000, 0.1666, 0.5000), Tm at (0.0000, 0.5000, 0.5000), Se at (0.2336, 0.3343, 0.7037) and Se at (0.2366, 0.0000, 0.7038).


Entry from Alexandria via LeMat-Bulk: a relaxed La3Pr3Au2 crystal (PBE).

The calculation puts the energy of formation from the pure elements at -0.35 eV per atom. The density of states at the Fermi level is 1.05 states/eV/atom.

The space group is Cmcm (No. 63) and the conventional cell measures 3.9202, 12.5282 and 20.6003 Å, with angles of 90.00, 90.00 and 90.00 degrees. Symmetry generates all atoms from La at (0.0000, 0.0622, 0.1190), La at (0.0000, 0.3637, 0.2500), Pr at (0.0000, 0.3635, 0.0260), Pr at (0.0000, 0.3644, 0.7500) and Au at (0.0000, 0.2183, 0.6296).